(1)
4
Lattice="-0.649 -0.138 -3.624 -0.806 -3.216 -1.606 -9.696 0.397 -0.152" Properties=species:S:1:pos:R:3 comment="TbTm2Pd PBE-GGA optimized geometry" dos_ef_per_ev_atom=1.239 volume_a3_per_cell=111.3 polymorph_energy_kj_per_mol_atoms=16.4 formation_enthalpy_0k_ev_per_atom=-0.319 pbc="T T T"
Tb -5.544 -1.484 -2.696
Tm -7.902 0.102 -0.462
Tm -2.297 -0.820 -1.430
Pd -0.984 -2.234 -3.484


(2)
6
Lattice="5.356 0.000 0.000 2.678 4.639 0.000 2.678 1.546 4.373" Properties=species:S:1:pos:R:3 comment="CaCeRu4 PBE-GGA optimized geometry" dos_ef_per_ev_atom=1.313 volume_a3_per_cell=108.7 formation_enthalpy_0k_ev_per_atom=-0.095 pbc="T T T"
Ru 5.356 3.092 0.547
Ru 5.356 1.547 2.733
Ru 6.695 3.865 2.733
Ru 4.018 3.865 2.733
Ca 2.678 1.546 1.093
Ce 0.000 0.000 0.000


(3)
5
Lattice="-3.253 1.336 1.075 0.480 -1.503 3.321 1.581 5.466 4.282" Properties=species:S:1:pos:R:3 comment="RuRh2Au2 PBE-GGA optimized geometry" dos_ef_per_ev_atom=1.545 volume_a3_per_cell=89.6 polymorph_energy_kj_per_mol_atoms=23.2 formation_enthalpy_0k_ev_per_atom=0.789 pbc="T T T"
Rh -0.840 0.938 2.582
Rh -0.352 4.361 6.096
Au -1.530 3.359 3.777
Au 0.337 1.940 4.900
Ru 0.000 0.000 0.000


(4)
18
Lattice="-4.482 -6.286 -0.450 7.426 -0.386 -2.121 3.648 -3.561 13.421" Properties=species:S:1:pos:R:3 comment="KSrBiBr6 PBE-GGA optimized geometry" dos_ef_per_ev_atom=0.000 formation_energy_uncorrected_mev_per_atom=-1441.7 volume_a3_per_cell=743.5 pbc="T T T"
K 0.000 0.000 0.000
K 1.824 -1.781 6.710
Sr 4.369 -3.243 1.791
Sr 2.224 -6.990 9.059
Bi 0.400 -5.210 2.348
Bi 6.193 -5.024 8.502
Br 2.252 -4.769 0.168
Br -1.277 -6.786 0.592
Br 8.012 -4.868 6.255
Br 7.869 -3.447 10.257
Br 2.305 -3.789 4.001
Br 1.591 -7.722 3.151
Br 7.647 -7.406 9.267
Br -1.419 -5.365 4.595
Br 5.001 -2.511 7.699
Br -1.054 -2.827 1.582
Br 4.288 -6.444 6.849
Br 4.340 -5.465 10.681


(5)
12
Lattice="-2.897 -2.321 -3.040 3.526 -3.098 -0.995 -4.229 -8.093 10.209" Properties=species:S:1:pos:R:3 comment="DyY2Sn9 PBE-GGA optimized geometry" dos_ef_per_ev_atom=0.437 volume_a3_per_cell=315.3 formation_enthalpy_0k_ev_per_atom=-0.427 pbc="T T T"
Dy 0.000 0.000 0.000
Y -1.408 -2.694 3.399
Y -2.821 -5.399 6.810
Sn 0.315 -2.709 -2.018
Sn -1.094 -5.405 1.383
Sn -2.506 -8.107 4.791
Sn -2.151 -2.505 0.176
Sn -3.563 -5.207 3.584
Sn -4.975 -7.909 6.992
Sn 1.060 -2.894 1.199
Sn -0.352 -5.595 4.607
Sn -1.763 -8.297 8.015


(6)
4
Lattice="-6.185 -3.753 -3.575 1.844 -0.556 4.757 -3.199 0.693 1.319" Properties=species:S:1:pos:R:3 comment="LiLaZn2 PBE-GGA optimized geometry" dos_ef_per_ev_atom=0.884 volume_a3_per_cell=93.0 formation_enthalpy_0k_ev_per_atom=-0.108 pbc="T T T"
La -0.677 0.068 3.038
Li -2.171 -2.154 0.591
Zn 0.000 0.000 0.000
Zn -4.692 -1.530 -1.128